{"formula": "Y2ZrRh3", "functional": "PBE", "state": "optimized geometry", "e_form_ev_per_atom": -0.803, "density_g_cm3": 8.19, "magmom_total_mub_per_fu": 0.000, "cell": [[-1.8556, -3.8792, 2.0735], [3.8281, 2.1241, 1.9039], [-3.5457, 3.4496, 3.2806]], "species": ["Zr", "Rh", "Rh", "Rh", "Y", "Y"], "frac_coords": [[0.0000, 0.0000, 0.0000], [0.3333, 0.6667, 0.1440], [0.6667, 0.3333, 0.8560], [0.0000, 0.0000, 0.5000], [0.3333, 0.6667, 0.6652], [0.6667, 0.3333, 0.3348]]}

***

{"formula": "K2ZrO", "functional": "PBE", "state": "optimized geometry", "density_g_cm3": 1.93, "magmom_total_mub_per_fu": 1.595, "e_form_raw_ev_per_atom": -0.624, "cell": [[-7.9560, -9.5026, 1.1392], [2.3159, -3.3489, -11.7608], [-1.2838, -7.6344, -4.6641]], "species": ["K", "K", "K", "K", "Zr", "Zr", "O", "O"], "frac_coords": [[0.2903, 0.6250, 0.2500], [0.4597, 0.1250, 0.2500], [0.3750, 0.5403, 0.7500], [0.8750, 0.7097, 0.7500], [0.7500, 0.2500, 0.5000], [0.0000, 0.0000, 0.0000], [0.5000, 0.5000, 0.0000], [0.2500, 0.7500, 0.5000]]}

***

{"formula": "CsSrMg", "functional": "PBE", "state": "optimized geometry", "e_form_ev_per_atom": 0.128, "density_g_cm3": 2.25, "magmom_total_mub_per_fu": 0.000, "cell": [[4.7188, 0.0001, -0.0051], [0.0001, 5.2668, 0.0028], [-2.3549, -0.0162, 14.5284]], "species": ["Sr", "Sr", "Mg", "Mg", "Cs", "Cs"], "frac_coords": [[0.4965, 0.8984, 0.1187], [0.0799, 0.3984, 0.2870], [0.6173, 0.8983, 0.3650], [0.6745, 0.3985, 0.4725], [0.8823, 0.3985, 0.8916], [0.2434, 0.8991, 0.6110]]}

***

{"formula": "CaIn4Ge4O14", "functional": "PBE", "state": "optimized geometry", "density_g_cm3": 6.12, "de_polymorph_mev_per_atom": 0.0, "magmom_total_mub_per_fu": 0.000, "e_form_raw_ev_per_atom": -1.463, "cell": [[-7.1700, 2.1692, 0.2066], [-5.2669, -3.5930, 3.9378], [-3.2449, 2.8837, 6.1083]], "species": ["O", "O", "O", "O", "O", "O", "O", "O", "O", "O", "O", "O", "O", "O", "Ge", "Ge", "Ge", "Ge", "In", "In", "In", "In", "Ca"], "frac_coords": [[0.3301, 0.9172, 0.9172], [0.3122, 0.3122, 0.9106], [0.0729, 0.0729, 0.6590], [0.9172, 0.3301, 0.9172], [0.3836, 0.3836, 0.3836], [0.0729, 0.6590, 0.0729], [0.3122, 0.9106, 0.3122], [0.6269, 0.6269, 0.6269], [0.6590, 0.0729, 0.0729], [0.9106, 0.3122, 0.3122], [0.6770, 0.0728, 0.6770], [0.0728, 0.6770, 0.6770], [0.6770, 0.6770, 0.0728], [0.9172, 0.9172, 0.3301], [0.9930, 0.4993, 0.9930], [0.9930, 0.9930, 0.4993], [0.4993, 0.9930, 0.9930], [0.9868, 0.9868, 0.9868], [0.5397, 0.9948, 0.5397], [0.9948, 0.5397, 0.5397], [0.5397, 0.5397, 0.9948], [0.5093, 0.5093, 0.5093], [0.2620, 0.2620, 0.2620]]}

***

{"formula": "CaNb2TcSe", "functional": "PBE", "state": "optimized geometry", "density_g_cm3": 6.05, "magmom_total_mub_per_fu": 0.001, "e_form_raw_ev_per_atom": 2.296, "cell": [[-1.4702, -0.4041, 4.5174], [1.3495, -4.6732, 0.0212], [4.3382, 1.2596, 1.5246]], "species": ["Nb", "Nb", "Se", "Tc", "Ca"], "frac_coords": [[0.5000, 0.0000, 0.0000], [0.0000, 0.0000, 0.5000], [0.0000, 0.5000, 0.0000], [0.5000, 0.5000, 0.5000], [0.0000, 0.0000, 0.0000]]}

***

{"formula": "Cr4TcBr", "functional": "PBE", "state": "optimized geometry", "density_g_cm3": 7.87, "magmom_total_mub_per_fu": 0.002, "e_form_raw_ev_per_atom": 0.812, "cell": [[0.0000, 3.4402, 3.4402], [3.4402, 0.0000, 3.4402], [3.4402, 3.4402, 0.0000]], "species": ["Cr", "Cr", "Cr", "Cr", "Tc", "Br"], "frac_coords": [[0.3749, 0.8752, 0.3749], [0.3749, 0.3749, 0.8752], [0.8752, 0.3749, 0.3749], [0.3749, 0.3749, 0.3749], [0.7500, 0.7500, 0.7500], [0.0000, 0.0000, 0.0000]]}

***

{"formula": "VZnH", "functional": "PBE", "state": "optimized geometry", "density_g_cm3": 6.35, "de_polymorph_mev_per_atom": 63.5, "magmom_total_mub_per_fu": 0.000, "cell": [[-4.0908, -0.8296, 2.6017], [3.3647, -1.6025, -3.2097], [2.7393, -1.7545, 3.7475]], "species": ["H", "H", "Zn", "Zn", "V", "V"], "frac_coords": [[0.9390, 0.0610, 0.2500], [0.0610, 0.9390, 0.7500], [0.7753, 0.2247, 0.7500], [0.2247, 0.7753, 0.2500], [0.5000, 0.5000, 0.5000], [0.5000, 0.5000, 0.0000]]}

***

{"formula": "LaNd6Ho3", "functional": "PBE", "state": "optimized geometry", "e_form_ev_per_atom": 0.139, "density_g_cm3": 7.30, "de_polymorph_mev_per_atom": 0.0, "magmom_total_mub_per_fu": 0.000, "cell": [[-6.0564, -0.2186, 1.9525], [-3.4381, 1.2561, -10.5239], [1.7152, -10.1853, 4.1796]], "species": ["Nd", "Nd", "Nd", "Nd", "Nd", "Nd", "Nd", "Nd", "Nd", "Nd", "Nd", "Nd", "La", "La", "Ho", "Ho", "Ho", "Ho", "Ho", "Ho"], "frac_coords": [[0.0496, 0.3729, 0.2925], [0.3744, 0.0547, 0.4728], [0.8744, 0.9453, 0.5272], [0.1463, 0.7177, 0.2823], [0.3722, 0.9634, 0.0366], [0.8722, 0.0366, 0.9634], [0.3744, 0.5272, 0.9453], [0.5496, 0.6271, 0.7075], [0.5496, 0.2925, 0.3729], [0.8744, 0.4728, 0.0547], [0.6463, 0.2823, 0.7177], [0.0496, 0.7075, 0.6271], [0.5982, 0.8101, 0.1899], [0.0982, 0.1899, 0.8101], [0.4643, 0.2904, 0.0597], [0.9643, 0.0597, 0.2904], [0.9643, 0.7096, 0.9403], [0.4643, 0.9403, 0.7096], [0.0921, 0.3833, 0.6167], [0.5921, 0.6167, 0.3833]]}

***

{"formula": "NdSmS2O", "functional": "PBE", "state": "optimized geometry", "density_g_cm3": 5.50, "magmom_total_mub_per_fu": 0.000, "e_form_raw_ev_per_atom": -2.477, "cell": [[-2.5994, 0.6650, 2.9519], [2.9007, -0.5598, 2.6805], [3.0701, 13.8803, -0.4234]], "species": ["S", "S", "S", "S", "O", "O", "Nd", "Nd", "Sm", "Sm"], "frac_coords": [[0.5000, 0.0000, 0.9088], [0.5000, 0.0000, 0.3049], [0.0000, 0.5000, 0.0912], [0.0000, 0.5000, 0.6951], [0.5000, 0.5000, 0.5000], [0.0000, 0.0000, 0.5000], [0.0000, 0.5000, 0.4144], [0.5000, 0.0000, 0.5856], [0.0000, 0.5000, 0.8749], [0.5000, 0.0000, 0.1251]]}

***

{"formula": "FeHgSb2", "functional": "PBE", "state": "optimized geometry", "density_g_cm3": 8.89, "magmom_total_mub_per_fu": 1.946, "e_form_raw_ev_per_atom": 0.207, "cell": [[6.8798, 0.1559, -0.0217], [4.4110, 5.2820, 0.0217], [-5.1545, -3.7383, 2.6103]], "species": ["Hg", "Sb", "Sb", "Fe"], "frac_coords": [[0.2500, 0.7500, 0.5000], [0.9194, 0.9194, 0.0000], [0.5806, 0.5806, 0.0000], [0.7500, 0.2500, 0.5000]]}

***

{"formula": "CdFeH", "functional": "PBE", "state": "optimized geometry", "final_energy_ev_per_cell": -23.93, "density_g_cm3": 7.16, "magmom_total_mub_per_fu": 2.174, "cell": [[-2.9310, 0.2148, -1.2256], [0.1864, -4.2299, 2.9492], [-1.1456, 3.7280, 3.3931]], "species": ["H", "H", "Fe", "Fe", "Cd", "Cd"], "frac_coords": [[0.1460, 0.2920, 0.9138], [0.8540, 0.7080, 0.0862], [0.7013, 0.4026, 0.8353], [0.2987, 0.5974, 0.1647], [0.4113, 0.8226, 0.6980], [0.5887, 0.1774, 0.3020]]}

***

{"formula": "BeRe2", "functional": "PBE", "state": "optimized geometry", "e_form_ev_per_atom": -0.093, "density_g_cm3": 16.38, "de_polymorph_mev_per_atom": 179.2, "magmom_total_mub_per_fu": 0.000, "cell": [[-3.4940, -1.0940, 3.0347], [-3.5524, 2.8406, 1.3879], [2.3305, -1.5710, -3.8361]], "species": ["Re", "Re", "Be"], "frac_coords": [[0.1611, 0.1611, 0.0000], [0.8389, 0.8389, 0.0000], [0.5000, 0.5000, 0.0000]]}

***

{"formula": "Li3ThSc2S6", "functional": "PBE", "state": "optimized geometry", "density_g_cm3": 3.84, "magmom_total_mub_per_fu": 0.000, "e_form_raw_ev_per_atom": -1.722, "cell": [[6.5874, -0.0025, 0.0011], [-3.2942, 5.7045, 0.0011], [-1.0971, -1.8996, 6.1619]], "species": ["S", "S", "S", "S", "S", "S", "Li", "Li", "Li", "Sc", "Sc", "Th"], "frac_coords": [[0.7338, 0.7338, 0.2512], [0.0825, 0.4328, 0.2482], [0.9175, 0.5672, 0.7518], [0.4328, 0.0825, 0.2482], [0.2662, 0.2662, 0.7488], [0.5672, 0.9175, 0.7518], [0.1697, 0.8303, 0.5000], [0.8303, 0.1697, 0.5000], [0.5000, 0.5000, 0.5000], [0.3337, 0.6663, 0.0000], [0.6663, 0.3337, 0.0000], [0.0000, 0.0000, 0.0000]]}

***

{"formula": "VPd6Pt2", "functional": "PBE", "state": "optimized geometry", "e_form_ev_per_atom": -0.192, "density_g_cm3": 13.18, "de_polymorph_mev_per_atom": 0.0, "magmom_total_mub_per_fu": 0.001, "cell": [[-1.2016, 4.5780, -0.8513], [-4.7766, -5.8708, -6.5977], [-1.0989, -9.9674, 6.7395]], "species": ["Pt", "Pt", "Pt", "Pt", "Pd", "Pd", "Pd", "Pd", "Pd", "Pd", "Pd", "Pd", "Pd", "Pd", "Pd", "Pd", "V", "V"], "frac_coords": [[0.1091, 0.1953, 0.5665], [0.0692, 0.5266, 0.2163], [0.8909, 0.8047, 0.4335], [0.9308, 0.4734, 0.7837], [0.6018, 0.6957, 0.5632], [0.7542, 0.0840, 0.6713], [0.5706, 0.0284, 0.2173], [0.2458, 0.9160, 0.3287], [0.3982, 0.3043, 0.4368], [0.4140, 0.6417, 0.1086], [0.4294, 0.9716, 0.7827], [0.5860, 0.3583, 0.8914], [0.0863, 0.8588, 0.8913], [0.2506, 0.5873, 0.6690], [0.9137, 0.1412, 0.1087], [0.7494, 0.4127, 0.3310], [0.7676, 0.7437, 0.0100], [0.2324, 0.2563, 0.9900]]}

***

{"formula": "K2OsRh", "functional": "PBE", "state": "optimized geometry", "e_form_ev_per_atom": 1.112, "density_g_cm3": 7.86, "de_polymorph_mev_per_atom": 530.1, "magmom_total_mub_per_fu": 0.036, "cell": [[-2.8568, -0.0104, 0.0180], [0.0350, -2.8614, 3.8985], [0.0045, 4.5751, 3.3580]], "species": ["K", "K", "Rh", "Os"], "frac_coords": [[0.0000, 0.0000, 0.0000], [0.5000, 0.5000, 0.0000], [0.0000, 0.5000, 0.5000], [0.5000, 0.0000, 0.5000]]}

***

{"formula": "InTcGeBi2", "functional": "PBE", "state": "optimized geometry", "e_form_ev_per_atom": 0.390, "density_g_cm3": 8.29, "magmom_total_mub_per_fu": 0.000, "cell": [[5.4253, 0.0000, 0.0000], [0.0000, 4.7890, 0.0000], [0.0000, 0.0000, 5.4253]], "species": ["Tc", "In", "Ge", "Bi", "Bi"], "frac_coords": [[0.0000, 0.0000, 0.0000], [0.5000, 0.5000, 0.5000], [0.0000, 0.5000, 0.0000], [0.0000, 0.0000, 0.5000], [0.5000, 0.0000, 0.0000]]}

***

{"formula": "ReBCl", "functional": "PBE", "state": "optimized geometry", "density_g_cm3": 9.16, "de_polymorph_mev_per_atom": 242.6, "magmom_total_mub_per_fu": 0.000, "e_form_raw_ev_per_atom": 0.437, "cell": [[5.9661, 0.0000, 0.0042], [0.0000, 2.9121, 0.0000], [-1.4271, 0.0000, 4.8488]], "species": ["Cl", "Cl", "Re", "Re", "B", "B"], "frac_coords": [[0.3651, 0.5000, 0.9348], [0.3651, 0.0000, 0.4348], [0.9229, 0.5000, 0.7904], [0.9229, 0.0000, 0.2904], [0.6815, 0.5000, 0.0412], [0.6815, 0.0000, 0.5412]]}

***

{"formula": "AlSnPd5", "functional": "PBE", "state": "optimized geometry", "e_form_ev_per_atom": -0.562, "density_g_cm3": 9.73, "de_polymorph_mev_per_atom": 0.0, "magmom_total_mub_per_fu": 0.000, "cell": [[-3.0263, 0.7313, 2.6427], [-0.5901, -4.0173, 0.4360], [4.5488, -0.0999, 5.2367]], "species": ["Sn", "Pd", "Pd", "Pd", "Pd", "Pd", "Al"], "frac_coords": [[0.0000, 0.0000, 0.5000], [0.5000, 0.5000, 0.5000], [0.0000, 0.5000, 0.7856], [0.5000, 0.0000, 0.7856], [0.5000, 0.0000, 0.2144], [0.0000, 0.5000, 0.2144], [0.5000, 0.5000, 0.0000]]}

***

{"formula": "AcPmGa2", "functional": "PBE", "state": "optimized geometry", "e_form_ev_per_atom": -0.540, "density_g_cm3": 7.43, "de_polymorph_mev_per_atom": 0.0, "magmom_total_mub_per_fu": 0.000, "cell": [[-3.5376, 2.7987, 0.5380], [0.0838, -0.7030, 4.2085], [5.4671, 3.1422, 0.4159]], "species": ["Ga", "Ga", "Ac", "Pm"], "frac_coords": [[0.0223, 0.0000, 0.5842], [0.1566, 0.5000, 0.8516], [0.4363, 0.5000, 0.4119], [0.7158, 0.0000, 0.9703]]}

***

{"formula": "Ho5GaTe2", "functional": "PBE", "state": "optimized geometry", "density_g_cm3": 7.79, "magmom_total_mub_per_fu": 0.000, "e_form_raw_ev_per_atom": -0.542, "cell": [[-4.9983, -0.4754, 3.2509], [5.8636, -1.1782, 3.3404], [0.8080, 12.8879, 3.1272]], "species": ["Ho", "Ho", "Ho", "Ho", "Ho", "Ho", "Ho", "Ho", "Ho", "Ho", "Te", "Te", "Te", "Te", "Ga", "Ga"], "frac_coords": [[0.6187, 0.2374, 0.9292], [0.3813, 0.7626, 0.4292], [0.6410, 0.2819, 0.2500], [0.0593, 0.1187, 0.1139], [0.9407, 0.8813, 0.8861], [0.0593, 0.1187, 0.3861], [0.3813, 0.7626, 0.0708], [0.3590, 0.7181, 0.7500], [0.9407, 0.8813, 0.6139], [0.6187, 0.2374, 0.5708], [0.8120, 0.6239, 0.4169], [0.1880, 0.3761, 0.9169], [0.8120, 0.6239, 0.0831], [0.1880, 0.3761, 0.5831], [0.2411, 0.4821, 0.2500], [0.7589, 0.5179, 0.7500]]}